Entry 1:
! PBE TaNbH6, relaxed; values from VASP
&SYSTEM
  ibrav = 0, nat = 16, ntyp = 3
/
ATOMIC_SPECIES
Ta 180.95 Ta.upf
Nb 92.91 Nb.upf
H 1.01 H.upf
CELL_PARAMETERS angstrom
4.355 0.000 0.000
0.000 4.355 0.000
0.000 0.000 5.856
ATOMIC_POSITIONS crystal
Ta 0.000 0.000 0.250
Ta 0.000 0.000 0.750
Nb 0.500 0.500 0.000
Nb 0.500 0.500 0.500
H 0.081 0.268 0.000
H 0.203 0.605 0.248
H 0.203 0.605 0.752
H 0.268 0.919 0.500
H 0.395 0.203 0.252
H 0.395 0.203 0.748
H 0.605 0.797 0.252
H 0.605 0.797 0.748
H 0.732 0.081 0.500
H 0.797 0.395 0.248
H 0.797 0.395 0.752
H 0.919 0.732 0.000
! * symmetry: P4_2/m

=====

Entry 2:
! PBE GaNiAg2, relaxed; values from VASP
&SYSTEM
  ibrav = 0, nat = 4, ntyp = 3
/
ATOMIC_SPECIES
Ga 69.72 Ga.upf
Ni 58.69 Ni.upf
Ag 107.87 Ag.upf
CELL_PARAMETERS angstrom
1.398 0.807 10.021
-1.398 0.807 10.021
0.000 -1.614 10.021
ATOMIC_POSITIONS crystal
Ga 0.000 0.000 0.000
Ni 0.500 0.500 0.500
Ag 0.415 0.415 0.415
Ag 0.585 0.585 0.585
! * symmetry: R-3m

=====

Entry 3:
! PBE NbPCl2F, relaxed; values from VASP
&SYSTEM
  ibrav = 0, nat = 5, ntyp = 4
/
ATOMIC_SPECIES
Nb 92.91 Nb.upf
P 30.97 P.upf
Cl 35.45 Cl.upf
F 19.00 F.upf
CELL_PARAMETERS angstrom
5.059 0.000 0.000
0.000 5.059 0.000
0.000 0.000 3.642
ATOMIC_POSITIONS crystal
Nb 0.000 0.000 0.000
P 0.500 0.500 0.000
Cl 0.000 0.500 0.500
Cl 0.500 0.000 0.500
F 0.500 0.500 0.500
! * symmetry: P4/mmm
! * E above lowest polymorph: 718 meV/atom
! * raw formation energy: 297 meV per atom

=====

Entry 4:
! PBE KBa2Ga2, relaxed; values from VASP
&SYSTEM
  ibrav = 0, nat = 10, ntyp = 3
/
ATOMIC_SPECIES
K 39.10 K.upf
Ba 137.33 Ba.upf
Ga 69.72 Ga.upf
CELL_PARAMETERS angstrom
9.381 0.000 0.000
0.000 9.381 0.000
0.000 0.000 4.589
ATOMIC_POSITIONS crystal
K 0.000 0.000 0.000
K 0.500 0.500 0.000
Ba 0.177 0.323 0.500
Ba 0.323 0.823 0.500
Ba 0.677 0.177 0.500
Ba 0.823 0.677 0.500
Ga 0.101 0.601 0.000
Ga 0.399 0.101 0.000
Ga 0.601 0.899 0.000
Ga 0.899 0.399 0.000
! * symmetry: P4/mbm
! * E above lowest polymorph: 0 meV/atom

=====

Table of final energy (eV per atom), in record order: -5.184, -3.274, -3.912, -2.364
Table of D(E_F) (states/eV/f.u.), in record order: 2.83, 4.65, 4.33, 6.60